HfBRh3: optimized geometry, PBEsol.

```
HfBRh3
1.0
4.071 0.000 0.000
0.000 4.071 0.000
0.000 0.000 4.071
Hf B Rh
1 1 3
Cartesian
2.036 2.036 2.036 Hf
0.000 0.000 0.000 B
0.000 2.036 0.000 Rh
0.000 0.000 2.036 Rh
2.036 0.000 0.000 Rh
```

Computed properties:
E_form   -795 meV per atom
Crystal system   cubic
Raw total energy   -9.182 eV/atom